A relaxed K3Tm3RhO8 crystal, computed with PBE-GGA.

Values from the calculation:
Its magnetization is 1.062 Bohr magnetons per cell. For the density of states at the Fermi level, the calculation gives 6.94 states/eV per cell. As for the final energy: -6.65 eV/atom.

a b c (Å): 6.6584 6.6587 7.3530
angles (deg): 116.93 90.00 120.00
Element x y z (fractional)
K  0.0000  0.0000  0.0000
K  0.0000  0.5000  0.0000
K  0.5000  0.5000  0.0000
Tm  0.5000  0.0000  0.5000
Tm  0.5000  0.5000  0.5000
Tm  0.0000  0.5000  0.5000
Rh  0.0000  0.0000  0.5000
O  0.2733  0.5466  0.3199
O  0.7267  0.4534  0.6801
O  0.7860  0.5720  0.3260
O  0.2140  0.4280  0.6740
O  0.7860  0.0400  0.3260
O  0.2140  0.9600  0.6740
O  0.2539  0.0400  0.3260
O  0.7461  0.9600  0.6740